Record 1
This record from the Alexandria database describes a relaxed structure of Ba2CdCu2. The functional is PBE-GGA.

N(E_F) = 0.648 states/eV per atom
DFT total energy = -27.1 eV for the cell shown
ΔH_f (0 K) = -119 meV/atom
Calculated volume = 306.85 Å³ per cell
Calculated density = 5.56 g cm⁻³

Cell lengths 4.4189, 15.7238, 4.4163 Å; angles 90.00, 90.00, 90.00 degrees
Closest atoms and distances in Å follow each position.
Space group Cmmm (No. 65)
One atom of each set of equivalent atoms:
Ba 0.0000 0.1300 0.0000  6 Cu 3.34-3.37, 4 Cd 3.73
Cd 0.0000 0.5000 0.5000  2 Cu 3.32
Cu 0.0000 0.2891 0.5000  2 Cu 2.53

=====

Record 2
This record from the Alexandria database describes a relaxed structure of BaCdCuF6. The functional is PBE-GGA.

N(E_F) = 0.032 states/eV per atom
DFT total energy = -162.5 eV for the cell shown
Calculated volume = 553.11 Å³ per cell
Calculated density = 5.13 g cm⁻³
Formation energy without anion corrections = -2.50 eV per atom

Cell lengths 7.1669, 7.6158, 10.1336 Å; angles 90.00, 90.00, 90.00 degrees
Closest atoms and distances in Å follow each position.
Space group Imma (No. 74)
One atom of each set of equivalent atoms:
Ba 0.0000 0.2500 0.1633  9 F 2.69-2.91
Cd 0.2500 0.2500 0.7500  4 F 2.23-2.30
Cu 0.0000 0.0000 0.5000  4 F 1.94
F 0.0000 0.2500 0.6189  2 Cd 2.23, 2 Cu 2.25
F 0.0000 0.2500 0.8921  2 Cd 2.30
F 0.1905 0.0542 0.3696  1 Cu 1.94

=====

Record 3
This record from the Alexandria database describes a relaxed structure of BaCdCu2F8. The functional is PBE-GGA.

N(E_F) = 0.012 states/eV per atom
DFT total energy = -105.2 eV for the cell shown
Calculated volume = 357.94 Å³ per cell
Calculated density = 4.91 g cm⁻³
Formation energy without anion corrections = -2.22 eV per atom

Cell lengths 5.7294, 5.7294, 10.9041 Å; angles 90.00, 90.00, 90.00 degrees
Closest atoms and distances in Å follow each position.
Space group I-4 (No. 82)
One atom of each set of equivalent atoms:
Ba 0.0000 0.0000 0.0000  8 F 2.62-2.75
Cd 0.0000 0.5000 0.7500  8 F 2.35-2.47
Cu 0.0000 0.0000 0.5000  4 F 1.91
Cu 0.0000 0.5000 0.2500  4 F 1.92
F 0.1042 0.2972 0.5574  1 Cu 1.91
F 0.1664 0.7783 0.2054  1 Cu 1.92

=====

Record 4
This record from the Alexandria database describes a relaxed structure of BaCdGa2Cu. The functional is PBE-GGA.

N(E_F) = 0.669 states/eV per atom
DFT total energy = -13.6 eV for the cell shown
ΔH_f (0 K) = -131 meV/atom
Calculated volume = 125.07 Å³ per cell
Calculated density = 6.01 g cm⁻³

Cell lengths 4.9449, 4.9449, 5.1147 Å; angles 90.00, 90.00, 90.00 degrees
Closest atoms and distances in Å follow each position.
Space group P4/mmm (No. 123)
One atom of each set of equivalent atoms:
Ba 0.0000 0.0000 0.0000  4 Cd 3.50, 8 Ga 3.56
Cd 0.5000 0.5000 0.0000  2 Cu 2.56
Ga 0.0000 0.5000 0.5000  2 Cu 2.47
Cu 0.5000 0.5000 0.5000  4 Ga 2.47, 2 Cd 2.56

=====

Record 5
This record from the Alexandria database describes a relaxed structure of BaCd2GaCu. The functional is PBE-GGA.

N(E_F) = 0.663 states/eV per atom
DFT total energy = -11.6 eV for the cell shown
ΔH_f (0 K) = -135 meV/atom
Calculated volume = 130.62 Å³ per cell
Calculated density = 6.30 g cm⁻³

Cell lengths 5.1718, 5.1718, 4.8834 Å; angles 90.00, 90.00, 90.00 degrees
Closest atoms and distances in Å follow each position.
Space group P4/mmm (No. 123)
One atom of each set of equivalent atoms:
Ba 0.0000 0.0000 0.0000  8 Cd 3.56, 4 Ga 3.66
Cd 0.0000 0.5000 0.5000  2 Cu 2.59
Ga 0.5000 0.5000 0.0000  2 Cu 2.44
Cu 0.5000 0.5000 0.5000  2 Ga 2.44, 4 Cd 2.59

=====

Record 6
This record from the Alexandria database describes a relaxed structure of Ba2CdGaCu. The functional is PBE-GGA.

N(E_F) = 0.712 states/eV per atom
DFT total energy = -12.7 eV for the cell shown
ΔH_f (0 K) = -161 meV/atom
Calculated volume = 178.32 Å³ per cell
Calculated density = 4.85 g cm⁻³

Cell lengths 6.2132, 6.2132, 4.6191 Å; angles 90.00, 90.00, 90.00 degrees
Closest atoms and distances in Å follow each position.
Space group P4/mmm (No. 123)
One atom of each set of equivalent atoms:
Ba 0.0000 0.5000 0.0000  2 Cu 3.11
Cd 0.0000 0.0000 0.5000  8 Ba 3.87
Ga 0.5000 0.5000 0.5000  2 Cu 2.31
Cu 0.5000 0.5000 0.0000  2 Ga 2.31

=====

Record 7
This record from the Alexandria database describes a relaxed structure of Ba2CdCuGe. The functional is PBE-GGA.

N(E_F) = 0.686 states/eV per atom
DFT total energy = -14.5 eV for the cell shown
ΔH_f (0 K) = -210 meV/atom
Calculated volume = 175.73 Å³ per cell
Calculated density = 4.94 g cm⁻³

Cell lengths 6.2372, 6.2372, 4.5173 Å; angles 90.00, 90.00, 90.00 degrees
Closest atoms and distances in Å follow each position.
Space group P4/mmm (No. 123)
One atom of each set of equivalent atoms:
Ba 0.0000 0.5000 0.0000  2 Cu 3.12
Cd 0.0000 0.0000 0.5000  8 Ba 3.85
Cu 0.5000 0.5000 0.0000  2 Ge 2.26
Ge 0.5000 0.5000 0.5000  2 Cu 2.26

=====

Record 8
This record from the Alexandria database describes a relaxed structure of Ba2CdCuH. The functional is PBE-GGA.

N(E_F) = 0.646 states/eV per atom
DFT total energy = -12.9 eV for the cell shown
Calculated volume = 137.16 Å³ per cell
E above lowest polymorph = 0 meV per atom
Calculated density = 5.47 g cm⁻³

Cell lengths 5.8469, 5.8469, 4.0121 Å; angles 90.00, 90.00, 90.00 degrees
Closest atoms and distances in Å follow each position.
Space group P4/mmm (No. 123)
One atom of each set of equivalent atoms:
Ba 0.0000 0.5000 0.0000  2 H 2.92
Cd 0.0000 0.0000 0.5000  8 Ba 3.55
Cu 0.5000 0.5000 0.5000  2 H 2.01
H 0.5000 0.5000 0.0000  2 Cu 2.01

=====

Record 9
This record from the Alexandria database describes a relaxed structure of Ba2CdCuH. The functional is PBE-GGA.

N(E_F) = 0.705 states/eV per atom
DFT total energy = -12.7 eV for the cell shown
Calculated volume = 139.76 Å³ per cell
E above lowest polymorph = 57 meV per atom
Calculated density = 5.37 g cm⁻³

Cell lengths 5.5932, 5.5932, 4.4676 Å; angles 90.00, 90.00, 90.00 degrees
Closest atoms and distances in Å follow each position.
Space group P4/mmm (No. 123)
One atom of each set of equivalent atoms:
Ba 0.0000 0.5000 0.0000  2 H 2.80
Cd 0.0000 0.0000 0.5000  2 H 2.23
Cu 0.5000 0.5000 0.5000  8 Ba 3.58, 4 Cd 3.95
H 0.0000 0.0000 0.0000  2 Cd 2.23

=====

Record 10
This record from the Alexandria database describes a relaxed structure of BaCdCu2H8. The functional is PBE-GGA.

N(E_F) = 0.532 states/eV per atom
DFT total energy = -36.3 eV for the cell shown
Calculated volume = 144.77 Å³ per cell
Calculated density = 4.41 g cm⁻³

Cell lengths 4.8079, 4.8079, 7.2318 Å; angles 90.00, 90.00, 120.00 degrees
Closest atoms and distances in Å follow each position.
Space group P-3 (No. 147)
One atom of each set of equivalent atoms:
Ba 0.0000 0.0000 0.0000  12 H 2.78-2.82
Cd 0.0000 0.0000 0.5000  6 H 1.99
Cu 0.3333 0.6667 0.7103  4 H 1.60-1.62
H 0.0116 0.3211 0.6773  1 Cu 1.62
H 0.3333 0.6667 0.9317  1 Cu 1.60

=====

Record 11
This record from the Alexandria database describes a relaxed structure of BaCdCuHg2. The functional is PBE-GGA.

N(E_F) = 0.445 states/eV per atom
DFT total energy = -8.5 eV for the cell shown
ΔH_f (0 K) = -196 meV/atom
Calculated volume = 140.41 Å³ per cell
Calculated density = 8.45 g cm⁻³

Cell lengths 5.2170, 5.2170, 5.1587 Å; angles 90.00, 90.00, 90.00 degrees
Closest atoms and distances in Å follow each position.
Space group P4/mmm (No. 123)
One atom of each set of equivalent atoms:
Ba 0.0000 0.0000 0.0000  8 Hg 3.67, 4 Cd 3.69
Cd 0.5000 0.5000 0.0000  2 Cu 2.58
Cu 0.5000 0.5000 0.5000  2 Cd 2.58, 4 Hg 2.61
Hg 0.0000 0.5000 0.5000  2 Cu 2.61

=====

Record 12
This record from the Alexandria database describes a relaxed structure of BaCdIn2Cu. The functional is PBE-GGA.

N(E_F) = 0.664 states/eV per atom
DFT total energy = -13.1 eV for the cell shown
ΔH_f (0 K) = -144 meV/atom
Calculated volume = 142.25 Å³ per cell
Calculated density = 6.34 g cm⁻³

Cell lengths 5.2346, 5.2346, 5.1914 Å; angles 90.00, 90.00, 90.00 degrees
Closest atoms and distances in Å follow each position.
Space group P4/mmm (No. 123)
One atom of each set of equivalent atoms:
Ba 0.0000 0.0000 0.0000  8 In 3.69, 4 Cd 3.70
Cd 0.5000 0.5000 0.0000  2 Cu 2.60
In 0.0000 0.5000 0.5000  2 Cu 2.62
Cu 0.5000 0.5000 0.5000  2 Cd 2.60, 4 In 2.62